Entry 1:
Na5In2Pd | PBE-GGA | optimized geometry

The structure in POSCAR format:
```
Na5In2Pd
1.0
3.450 0.000 0.000
0.000 8.222 0.000
0.000 0.000 14.958
In Na Pd
4 10 2
direct
0.500 0.689 0.893 In
0.500 0.811 0.393 In
0.500 0.189 0.607 In
0.500 0.311 0.107 In
0.500 0.211 0.386 Na
0.500 0.789 0.614 Na
0.000 0.026 0.227 Na
0.000 0.974 0.773 Na
0.000 0.474 0.727 Na
0.500 0.711 0.114 Na
0.000 0.500 0.500 Na
0.000 0.000 0.000 Na
0.500 0.289 0.886 Na
0.000 0.526 0.273 Na
0.000 0.500 0.000 Pd
0.000 0.000 0.500 Pd
```



Entry 2:
NaIn2Pd3 | PBE-GGA | optimized geometry

The structure in POSCAR format:
```
NaIn2Pd3
1.0
-1.050 -1.281 3.978
5.565 0.364 1.586
-3.482 4.602 0.563
Pd In Na
3 2 1
direct
0.500 0.000 0.500 Pd
0.500 0.500 0.000 Pd
0.500 0.500 0.500 Pd
0.000 0.333 0.667 In
0.000 0.667 0.333 In
0.000 0.000 0.000 Na
```

The relative energy among the computed polymorphs comes out at 0.10 eV per formula unit.



Entry 3:
NaIn6Pd5 | PBE-GGA | optimized geometry

The structure in POSCAR format:
```
NaIn6Pd5
1.0
-0.777 -2.524 -3.951
4.793 -4.212 1.749
-4.401 -2.734 5.479
In Pd Na
6 5 1
direct
0.173 0.254 0.346 In
0.827 0.254 0.654 In
0.827 0.746 0.654 In
0.173 0.746 0.346 In
0.500 0.737 0.000 In
0.500 0.263 0.000 In
0.665 0.500 0.328 Pd
0.656 0.000 0.316 Pd
0.344 0.000 0.684 Pd
0.000 0.500 0.000 Pd
0.335 0.500 0.672 Pd
0.000 0.000 0.000 Na
```



Entry 4:
NaIn2Pd5 | PBE-GGA | optimized geometry

The structure in POSCAR format:
```
NaIn2Pd5
1.0
-0.426 -0.736 -3.737
-6.093 -3.191 -0.643
-5.138 4.070 -2.182
Pd In Na
5 2 1
direct
0.630 0.565 0.175 Pd
0.370 0.435 0.825 Pd
0.630 0.175 0.565 Pd
0.000 0.500 0.500 Pd
0.370 0.825 0.435 Pd
0.249 0.251 0.251 In
0.751 0.749 0.749 In
0.000 0.000 0.000 Na
```

The relative energy among the computed polymorphs comes out at 1.00 eV per formula unit.



Across the entries above, spin magnetization takes the values 0.00 0.00 0.00 0.00 Bohr magnetons per cell, respectively.
Across the entries above, total energy takes the values -2.283 -4.125 -4.044 -4.371 eV per atom, respectively.